PBE-GGA Pm6Dy3Ho2Sc, optimized geometry; symmetry = No. 12; energy of formation = 0.0236 eV/atom; energy = -4.79 eV/atom
1.0
3.102 -5.371 0.000
3.102 5.371 0.000
-2.061 0.000 11.549
Pm Dy Ho Sc
6 3 2 1
Cartesian
1.025 1.776 2.853
-0.009 0.000 8.693
1.025 -1.776 2.853
3.117 1.776 8.696
4.151 0.000 2.856
3.117 -1.776 8.696
2.071 3.581 5.775
2.071 0.000 5.775
2.071 -3.581 5.775
3.102 1.790 0.000
3.102 -1.790 0.000
0.000 0.000 0.000